(1)
The following is a GGA-PBE calculation of crystalline LiRePt at its relaxed geometry, from Alexandria via LeMat-Bulk.

a = 5.833 Å, b = 5.833 Å, c = 5.833 Å
α = 90.00°, β = 90.00°, γ = 90.00°
Space group F-43m (No. 216)
Inequivalent atoms, fractional coordinates:
Li  0.000  0.000  0.000 [4 per cell]
Re  0.000  0.000  0.500 [4 per cell]
Pt  0.250  0.250  0.750 [4 per cell]

**DOS(E_F)**: 6.167 states/eV/cell
**Distance to the lowest polymorph of the same formula**: 1.64 eV per formula unit
**Volume**: 198 Å³ per cell
**Energy relative to the elements**: 0.9 eV/f.u.
**Crystal system**: cubic



(2)
The following is a GGA-PBE calculation of crystalline Ca3Cd3PdO8 at its relaxed geometry, from Alexandria via LeMat-Bulk.

a = 6.7624 Å, b = 6.7624 Å, c = 16.1787 Å
α = 90.00°, β = 90.00°, γ = 120.00°
Space group R-3m (No. 166, hexagonal axes)
Inequivalent atoms, fractional coordinates:
Ca  0.0000  0.5000  0.0000 [9 per cell]
Cd  0.0000  0.5000  0.5000 [9 per cell]
Pd  0.0000  0.0000  0.5000 [3 per cell]
O  0.0000  0.0000  0.2524 [6 per cell]
O  0.0419  0.5210  0.2394 [18 per cell]

**DOS(E_F)**: 0.000 states/eV/cell
**E_form (uncorrected)**: -1721 meV/atom
**Volume**: 641 Å³ per cell
**Crystal system**: trigonal



Per-record mass density, Mg/m³: 12.99 5.38